# LiLaPr2In4 (PBE, optimized geometry)
data_LiLaPr2In4
_cell_length_a 5.3751
_cell_length_b 5.3751
_cell_length_c 27.3872
_cell_angle_alpha 90.00
_cell_angle_beta 90.00
_cell_angle_gamma 120.00
_symmetry_space_group_name_H-M 'R -3 m'
_symmetry_Int_Tables_number 166
_symmetry_space_group_name_Hall '-R 3 2"'
loop_
_atom_site_label
_atom_site_type_symbol
_atom_site_fract_x
_atom_site_fract_y
_atom_site_fract_z
_atom_site_occupancy
Li1 Li 0.0000 0.0000 0.0000 1
La1 La 0.0000 0.0000 0.5000 1
Pr1 Pr 0.0000 0.0000 0.2563 1
In1 In 0.0000 0.0000 0.1227 1
In2 In 0.0000 0.0000 0.3733 1
# Mass density (Mg/m³): 6.45
# Fermi-level density of states (states/eV per cell): 14.1
# Calculated formation energy (kJ/mol of formula units): -329.7
# Magnetic moment (μB/f.u.): 0.000
# Uncorrected energy (eV for the cell shown): -92.31
# Crystal system: trigonal